A geometry-optimized Ir2PbI structure, computed with GGA-PBE.

Cell: 6.8369 6.8369 6.8369 Å, 90.00 90.00 90.00°
Atoms (fractional coordinates):
1 Ir 0.2500 0.2500 0.2500
2 Ir 0.2500 0.2500 0.7500
3 Ir 0.2500 0.7500 0.2500
4 Ir 0.2500 0.7500 0.7500
5 Ir 0.7500 0.2500 0.2500
6 Ir 0.7500 0.2500 0.7500
7 Ir 0.7500 0.7500 0.2500
8 Ir 0.7500 0.7500 0.7500
9 Pb 0.0000 0.0000 0.0000
10 Pb 0.0000 0.5000 0.5000
11 Pb 0.5000 0.0000 0.5000
12 Pb 0.5000 0.5000 0.0000
13 I 0.0000 0.0000 0.5000
14 I 0.0000 0.5000 0.0000
15 I 0.5000 0.0000 0.0000
16 I 0.5000 0.5000 0.5000

Values from the calculation:
- energy relative to the elements, uncorrected (eV/atom) = 0.982
- density of states at the Fermi level (states/eV/atom) = 1.581
- E (Ry/atom) = -0.3501
- ΔE to the lowest computed polymorph (eV per atom) = 0.151
- SG = No. 225
- M_tot (μB per formula unit) = 0.0